Entry 1:
{"formula": "Li3CrSe", "functional": "GGA-PBE", "state": "relaxed", "relative_energy_ev_per_atom": 0.5722, "raw_formation_energy_ev_per_atom": 0.47, "cell": [[4.880, 0.000, 0.000], [0.000, 4.880, 0.000], [0.000, 0.000, 4.880]], "species": ["Li", "Li", "Li", "Cr", "Se"], "frac_coords": [[0.000, 0.000, 0.500], [0.000, 0.500, 0.000], [0.500, 0.000, 0.000], [0.000, 0.000, 0.000], [0.500, 0.500, 0.500]]}

---

Entry 2:
{"formula": "LiCrSe3", "functional": "GGA-PBE", "state": "relaxed", "relative_energy_ev_per_atom": 0.3478, "raw_formation_energy_ev_per_atom": -0.25, "cell": [[3.787, 0.000, 0.000], [0.000, 3.787, 0.000], [0.000, 0.000, 7.710]], "species": ["Li", "Cr", "Se", "Se", "Se"], "frac_coords": [[0.000, 0.000, 0.000], [0.500, 0.500, 0.592], [0.000, 0.000, 0.679], [0.000, 0.500, 0.248], [0.500, 0.000, 0.248]]}

---

Entry 3:
{"formula": "LiCr2Se", "functional": "GGA-PBE", "state": "relaxed", "raw_formation_energy_ev_per_atom": 0.33, "cell": [[3.019, 0.000, 0.000], [0.000, 4.479, 0.000], [-0.067, 0.000, 4.205]], "species": ["Li", "Cr", "Cr", "Se"], "frac_coords": [[0.000, 0.000, 0.000], [0.345, 0.500, 0.202], [0.655, 0.500, 0.798], [0.500, 0.000, 0.500]]}

---

Entry 4:
{"formula": "Li2CrSe", "functional": "GGA-PBE", "state": "relaxed", "raw_formation_energy_ev_per_atom": -0.19, "cell": [[3.558, 0.000, 0.000], [0.000, 3.548, 0.000], [-1.764, 0.000, 5.990]], "species": ["Li", "Li", "Cr", "Se"], "frac_coords": [[0.000, 0.000, 0.000], [0.368, 0.500, 0.734], [0.642, 0.500, 0.286], [0.211, 0.000, 0.424]]}

---

Entry 5:
{"formula": "LiCrSe3", "functional": "GGA-PBE", "state": "relaxed", "relative_energy_ev_per_atom": 0.0825, "raw_formation_energy_ev_per_atom": -0.52, "cell": [[6.176, 0.000, 0.000], [2.018, 6.477, 0.000], [2.900, 2.594, 5.934]], "species": ["Li", "Li", "Cr", "Cr", "Se", "Se", "Se", "Se", "Se", "Se"], "frac_coords": [[0.000, 0.000, 0.000], [0.365, 0.453, 0.336], [0.362, 0.897, 0.621], [0.802, 0.063, 0.432], [0.019, 0.190, 0.579], [0.188, 0.830, 0.405], [0.260, 0.615, 0.953], [0.472, 0.143, 0.707], [0.713, 0.768, 0.399], [0.836, 0.358, 0.107]]}

---

Entry 6:
{"formula": "LiCr2Se", "functional": "GGA-PBE", "state": "relaxed", "raw_formation_energy_ev_per_atom": 0.28, "cell": [[4.148, 0.000, 0.000], [0.000, 4.148, 0.000], [0.000, 0.000, 3.883]], "species": ["Li", "Cr", "Cr", "Se"], "frac_coords": [[0.000, 0.000, 0.000], [0.000, 0.500, 0.500], [0.500, 0.000, 0.500], [0.500, 0.500, 0.000]]}

---

Entry 7:
{"formula": "LiCrSe3", "functional": "GGA-PBE", "state": "relaxed", "relative_energy_ev_per_atom": 0.3166, "raw_formation_energy_ev_per_atom": -0.28, "cell": [[3.587, -7.012, 0.000], [3.587, 7.012, 0.000], [0.000, 0.000, 6.931]], "species": ["Li", "Li", "Cr", "Cr", "Se", "Se", "Se", "Se", "Se", "Se"], "frac_coords": [[0.191, 0.809, 0.750], [0.809, 0.191, 0.250], [0.399, 0.601, 0.750], [0.601, 0.399, 0.250], [0.052, 0.435, 0.750], [0.435, 0.052, 0.250], [0.500, 0.500, 0.000], [0.500, 0.500, 0.500], [0.565, 0.948, 0.750], [0.948, 0.565, 0.250]]}

---

Entry 8:
{"formula": "LiCrSe3", "functional": "GGA-PBE", "state": "relaxed", "relative_energy_ev_per_atom": 0.3255, "raw_formation_energy_ev_per_atom": -0.27, "cell": [[-2.504, 2.504, 10.856], [2.504, -2.504, 10.856], [2.504, 2.504, -10.856]], "species": ["Li", "Li", "Cr", "Cr", "Se", "Se", "Se", "Se", "Se", "Se"], "frac_coords": [[0.070, 0.070, 0.000], [0.930, 0.930, 0.000], [0.500, 0.500, 0.000], [0.750, 0.250, 0.500], [0.032, 0.532, 0.500], [0.102, 0.341, 0.761], [0.468, 0.968, 0.500], [0.580, 0.341, 0.239], [0.659, 0.420, 0.761], [0.659, 0.898, 0.239]]}

---

Entry 9:
{"formula": "LiCr2Se", "functional": "GGA-PBE", "state": "relaxed", "raw_formation_energy_ev_per_atom": 0.10, "cell": [[-1.883, 1.957, 3.948], [1.883, -1.957, 3.948], [1.883, 1.957, -3.948]], "species": ["Li", "Cr", "Cr", "Se"], "frac_coords": [[0.000, 0.000, 0.000], [0.503, 0.503, 0.000], [0.746, 0.246, 0.500], [0.249, 0.749, 0.500]]}

---

Entry 10:
{"formula": "LiCrSe3", "functional": "GGA-PBE", "state": "relaxed", "relative_energy_ev_per_atom": 0.1734, "raw_formation_energy_ev_per_atom": -0.43, "cell": [[3.709, 0.000, 0.000], [0.000, 7.246, 0.000], [-1.861, 0.000, 9.340]], "species": ["Li", "Li", "Cr", "Cr", "Se", "Se", "Se", "Se", "Se", "Se"], "frac_coords": [[0.122, 0.250, 0.244], [0.878, 0.750, 0.756], [0.399, 0.250, 0.800], [0.601, 0.750, 0.200], [0.024, 0.750, 0.047], [0.331, 0.000, 0.664], [0.331, 0.500, 0.664], [0.669, 0.000, 0.336], [0.669, 0.500, 0.336], [0.976, 0.250, 0.953]]}

---

Entry 11:
{"formula": "Li3CrSe", "functional": "GGA-PBE", "state": "relaxed", "relative_energy_ev_per_atom": 0.0000, "raw_formation_energy_ev_per_atom": -0.10, "cell": [[4.845, 0.000, 0.000], [0.000, 4.845, 0.000], [0.000, 0.000, 4.845]], "species": ["Li", "Li", "Li", "Cr", "Se"], "frac_coords": [[0.000, 0.000, 0.500], [0.000, 0.500, 0.000], [0.500, 0.000, 0.000], [0.500, 0.500, 0.500], [0.000, 0.000, 0.000]]}

---

Entry 12:
{"formula": "LiCrSe3", "functional": "GGA-PBE", "state": "relaxed", "relative_energy_ev_per_atom": 0.0790, "raw_formation_energy_ev_per_atom": -0.52, "cell": [[6.192, 0.000, 0.000], [-0.169, 6.647, 0.000], [-2.744, -2.750, 5.698]], "species": ["Li", "Li", "Cr", "Cr", "Se", "Se", "Se", "Se", "Se", "Se"], "frac_coords": [[0.212, 0.199, 0.206], [0.788, 0.801, 0.794], [0.306, 0.913, 0.519], [0.694, 0.087, 0.481], [0.073, 0.066, 0.754], [0.328, 0.613, 0.586], [0.381, 0.796, 0.186], [0.619, 0.204, 0.814], [0.672, 0.387, 0.414], [0.927, 0.934, 0.246]]}

---

Entry 13:
{"formula": "LiCrSe3", "functional": "GGA-PBE", "state": "relaxed", "relative_energy_ev_per_atom": 0.0731, "raw_formation_energy_ev_per_atom": -0.53, "cell": [[5.641, 0.000, 0.000], [2.770, 6.436, 0.000], [1.141, 3.288, 6.227]], "species": ["Li", "Li", "Cr", "Cr", "Se", "Se", "Se", "Se", "Se", "Se"], "frac_coords": [[0.083, 0.235, 0.224], [0.917, 0.765, 0.776], [0.249, 0.512, 0.438], [0.751, 0.488, 0.562], [0.165, 0.221, 0.744], [0.278, 0.568, 0.071], [0.309, 0.780, 0.503], [0.691, 0.220, 0.497], [0.722, 0.432, 0.929], [0.835, 0.779, 0.256]]}

---

Entry 14:
{"formula": "Li2CrSe", "functional": "GGA-PBE", "state": "relaxed", "raw_formation_energy_ev_per_atom": -0.17, "cell": [[4.465, -1.911, 0.000], [4.465, 1.911, 0.000], [-1.549, 0.000, 3.783]], "species": ["Li", "Li", "Cr", "Se"], "frac_coords": [[0.000, 0.000, 0.000], [0.238, 0.238, 0.753], [0.763, 0.763, 0.296], [0.494, 0.494, 0.459]]}

---

Entry 15:
{"formula": "LiCr2Se", "functional": "GGA-PBE", "state": "relaxed", "raw_formation_energy_ev_per_atom": 0.19, "cell": [[1.492, 0.861, 7.861], [-1.492, 0.861, 7.861], [0.000, -1.723, 7.861]], "species": ["Li", "Cr", "Cr", "Se"], "frac_coords": [[0.000, 0.000, 0.000], [0.232, 0.232, 0.232], [0.502, 0.502, 0.502], [0.757, 0.757, 0.757]]}

---

Entry 16:
{"formula": "LiCr2Se", "functional": "GGA-PBE", "state": "relaxed", "raw_formation_energy_ev_per_atom": 0.53, "cell": [[-3.591, 3.591, 2.400], [3.591, -3.591, 2.400], [3.591, 3.591, -2.400]], "species": ["Li", "Li", "Cr", "Cr", "Cr", "Cr", "Se", "Se"], "frac_coords": [[0.000, 0.000, 0.000], [0.750, 0.250, 0.500], [0.176, 0.125, 0.551], [0.375, 0.824, 0.949], [0.574, 0.625, 0.449], [0.875, 0.426, 0.051], [0.250, 0.750, 0.500], [0.500, 0.500, 0.000]]}

---

Entry 17:
{"formula": "LiCrSe3", "functional": "GGA-PBE", "state": "relaxed", "relative_energy_ev_per_atom": 0.1058, "raw_formation_energy_ev_per_atom": -0.49, "cell": [[6.692, -2.413, 0.000], [6.692, 2.413, 0.000], [-1.059, 0.000, 6.999]], "species": ["Li", "Li", "Cr", "Cr", "Se", "Se", "Se", "Se", "Se", "Se"], "frac_coords": [[0.134, 0.134, 0.313], [0.866, 0.866, 0.687], [0.352, 0.352, 0.128], [0.648, 0.648, 0.872], [0.175, 0.175, 0.959], [0.333, 0.333, 0.446], [0.461, 0.461, 0.822], [0.539, 0.539, 0.178], [0.667, 0.667, 0.554], [0.825, 0.825, 0.041]]}

---

Entry 18:
{"formula": "LiCr2Se", "functional": "GGA-PBE", "state": "relaxed", "raw_formation_energy_ev_per_atom": 0.25, "cell": [[4.501, -1.551, 0.000], [4.501, 1.551, 0.000], [-1.114, 0.000, 3.687]], "species": ["Li", "Cr", "Cr", "Se"], "frac_coords": [[0.000, 0.000, 0.000], [0.243, 0.243, 0.727], [0.757, 0.757, 0.273], [0.500, 0.500, 0.500]]}

---

Entry 19:
{"formula": "LiCrSe", "functional": "GGA-PBE", "state": "relaxed", "relative_energy_ev_per_atom": 0.3882, "raw_formation_energy_ev_per_atom": -0.04, "cell": [[-1.571, 1.571, 4.186], [1.571, -1.571, 4.186], [1.571, 1.571, -4.186]], "species": ["Li", "Cr", "Se"], "frac_coords": [[0.000, 0.000, 0.000], [0.314, 0.314, 0.000], [0.678, 0.678, 0.000]]}

---

Entry 20:
{"formula": "LiCrSe4", "functional": "GGA-PBE", "state": "relaxed", "raw_formation_energy_ev_per_atom": 0.37, "cell": [[0.000, 4.071, 4.071], [4.071, 0.000, 4.071], [4.071, 4.071, 0.000]], "species": ["Li", "Cr", "Se", "Se", "Se", "Se"], "frac_coords": [[0.000, 0.000, 0.000], [0.250, 0.250, 0.250], [0.126, 0.625, 0.625], [0.625, 0.126, 0.625], [0.625, 0.625, 0.126], [0.625, 0.625, 0.625]]}

---

Entry 21:
{"formula": "Li2TiCrSe4", "functional": "GGA-PBE", "state": "relaxed", "raw_formation_energy_ev_per_atom": -1.00, "cell": [[6.476, 0.000, 0.000], [0.000, 3.714, 0.000], [-2.121, 0.000, 6.317]], "species": ["Li", "Li", "Ti", "Cr", "Se", "Se", "Se", "Se"], "frac_coords": [[0.000, 0.000, 0.000], [0.500, 0.500, 0.000], [0.000, 0.500, 0.500], [0.500, 0.000, 0.500], [0.248, 0.000, 0.732], [0.260, 0.500, 0.272], [0.740, 0.500, 0.728], [0.752, 0.000, 0.268]]}

---

Entry 22:
{"formula": "LiTlCrSe2", "functional": "GGA-PBE", "state": "relaxed", "raw_formation_energy_ev_per_atom": 0.62, "cell": [[5.525, 0.000, 0.000], [0.000, 5.525, 0.000], [0.000, 0.000, 4.813]], "species": ["Li", "Tl", "Cr", "Se", "Se"], "frac_coords": [[0.000, 0.000, 0.000], [0.000, 0.000, 0.500], [0.500, 0.500, 0.000], [0.000, 0.500, 0.500], [0.500, 0.000, 0.500]]}

---

Entry 23:
{"formula": "LiTl3Cr2Se6", "functional": "GGA-PBE", "state": "relaxed", "raw_formation_energy_ev_per_atom": -0.50, "cell": [[3.376, -5.780, 0.000], [3.376, 5.780, 0.000], [-2.167, 0.000, 7.242]], "species": ["Li", "Tl", "Tl", "Tl", "Cr", "Cr", "Se", "Se", "Se", "Se", "Se", "Se"], "frac_coords": [[0.000, 0.000, 0.000], [0.159, 0.841, 0.500], [0.500, 0.500, 0.500], [0.841, 0.159, 0.500], [0.331, 0.669, 0.000], [0.669, 0.331, 0.000], [0.064, 0.423, 0.190], [0.298, 0.298, 0.823], [0.423, 0.064, 0.190], [0.577, 0.936, 0.810], [0.702, 0.702, 0.177], [0.936, 0.577, 0.810]]}

---

Entry 24:
{"formula": "LiUCrSe4", "functional": "GGA-PBE", "state": "relaxed", "raw_formation_energy_ev_per_atom": -0.95, "cell": [[-3.883, 4.221, 5.190], [3.883, -4.221, 5.190], [3.883, 4.221, -5.190]], "species": ["Li", "Li", "U", "U", "Cr", "Cr", "Se", "Se", "Se", "Se", "Se", "Se", "Se", "Se"], "frac_coords": [[0.406, 0.156, 0.250], [0.594, 0.844, 0.750], [0.000, 0.500, 0.500], [0.500, 0.500, 0.000], [0.000, 0.000, 0.500], [0.000, 0.500, 0.000], [0.189, 0.235, 0.954], [0.219, 0.765, 0.454], [0.253, 0.263, 0.510], [0.253, 0.743, 0.990], [0.747, 0.257, 0.010], [0.747, 0.737, 0.490], [0.781, 0.235, 0.546], [0.811, 0.765, 0.046]]}

---

Entry 25:
{"formula": "Li2UCrSe4", "functional": "GGA-PBE", "state": "relaxed", "raw_formation_energy_ev_per_atom": -1.00, "cell": [[6.640, 0.000, 0.000], [0.000, 3.951, 0.000], [-2.185, 0.000, 6.489]], "species": ["Li", "Li", "U", "Cr", "Se", "Se", "Se", "Se"], "frac_coords": [[0.000, 0.000, 0.000], [0.500, 0.500, 0.000], [0.000, 0.500, 0.500], [0.500, 0.000, 0.500], [0.263, 0.000, 0.755], [0.272, 0.500, 0.262], [0.728, 0.500, 0.738], [0.737, 0.000, 0.245]]}

---

Entry 26:
{"formula": "Li2VCrSe4", "functional": "GGA-PBE", "state": "relaxed", "raw_formation_energy_ev_per_atom": -0.85, "cell": [[6.470, 0.000, 0.000], [0.000, 3.689, 0.000], [-2.139, 0.000, 6.276]], "species": ["Li", "Li", "V", "Cr", "Se", "Se", "Se", "Se"], "frac_coords": [[0.000, 0.000, 0.000], [0.500, 0.500, 0.000], [0.000, 0.500, 0.500], [0.500, 0.000, 0.500], [0.245, 0.000, 0.727], [0.260, 0.500, 0.274], [0.740, 0.500, 0.726], [0.755, 0.000, 0.273]]}

---

no.,energy (eV/cell),M_tot (μB per formula unit)
1,-16.500,5.00
2,-23.254,3.94
3,-23.327,0.00
4,-17.688,3.99
5,-49.160,0.00
6,-23.536,8.54
7,-46.819,0.75
8,-46.730,2.76
9,-24.235,0.30
10,-48.251,1.00
11,-19.360,5.03
12,-49.196,0.00
13,-49.255,0.34
14,-17.617,4.08
15,-23.903,0.00
16,-45.069,3.14
17,-48.927,2.00
18,-23.644,0.00
19,-15.149,1.02
20,-23.264,5.07
21,-43.266,3.98
22,-17.782,4.56
23,-55.171,4.56
24,-86.817,5.00
25,-46.698,6.00
26,-43.309,5.00